Record 1
Entry from Alexandria: a relaxed Ti4Fe3Ni crystal (PBE-GGA).

```
Ti4Fe3Ni
1.0
-2.1350 -2.0324 -0.1494
0.5672 -0.8958 4.0818
-5.6852 5.8202 2.0674
Ni Fe Ti
1 3 4
Cartesian
-0.7839 -1.4641 1.9662
-2.4920 0.4422 0.4433
-3.6265 1.4460 2.9999
-5.3282 3.3457 1.4747
-2.8426 2.9101 1.0337
-3.9549 3.8912 3.5822
0.0000 0.0000 0.0000
-1.1631 1.0332 2.5670
```

As for the energy of formation from the pure elements: -380 meV/atom. The calculation puts the density of states at the Fermi level at 6.8 states/eV/f.u. As for the space-group type: No. 47. Its crystal system is orthorhombic.


Record 2
Entry from Alexandria: a relaxed Sc2HgBRh crystal (PBE-GGA).

```
Sc2HgBRh
1.0
5.0463 0.0000 0.0000
0.0000 4.0456 0.0000
0.0000 0.0000 5.0463
Sc B Rh Hg
2 1 1 1
Cartesian
0.0000 0.0000 2.5231
2.5231 0.0000 0.0000
0.0000 2.0228 0.0000
0.0000 0.0000 0.0000
2.5231 2.0228 2.5231
```

As for the energy of formation from the pure elements: -58 meV/atom. The calculation puts the density of states at the Fermi level at 3.5 states/eV/f.u. As for the space-group type: No. 123. Its crystal system is tetragonal.


Record 3
Entry from Alexandria: a relaxed Tb2Ho6In crystal (PBE-GGA).

```
Tb2Ho6In
1.0
-5.3599 0.5065 -2.8505
0.1791 -8.8724 -4.0828
-4.8501 -6.1271 5.8614
Tb Ho In
4 12 2
Cartesian
-6.0548 -9.6364 1.1135
-2.4468 -4.4817 1.5151
-3.9761 -4.8566 -2.1854
-7.5840 -10.0113 -2.5870
-4.4765 -8.4465 -1.7291
-1.5099 -7.0446 -0.6157
-5.5544 -6.0465 0.6572
-8.5210 -7.4483 -0.4562
-5.0441 -2.4260 -0.0564
-9.0525 -11.0573 0.2992
-4.9868 -12.0670 -1.0155
-0.9784 -3.4357 -1.3711
-1.7609 -6.8528 -4.0431
-1.7594 -9.9845 -3.1778
-8.2700 -7.6402 2.9712
-8.2714 -4.5085 2.1059
-5.5331 -6.3591 3.8498
-4.4978 -8.1339 -4.9217
```

As for the energy of formation from the pure elements: -32 meV/atom. The calculation puts the density of states at the Fermi level at 11.1 states/eV/f.u. As for the space-group type: No. 15. Its crystal system is monoclinic. The value obtained for the relative energy among the computed polymorphs is 25.1 meV per atom.


Record 4
Entry from Alexandria: a relaxed KTl2Ag crystal (PBE-GGA).

```
KTl2Ag
1.0
4.9802 0.0000 0.0000
2.4901 4.3130 0.0000
2.4901 1.4377 6.2108
K Tl Ag
1 2 1
Cartesian
4.9802 2.8753 3.2225
2.4901 1.4376 5.4239
2.4901 1.4376 0.9358
7.4702 4.3130 5.9449
```

As for the energy of formation from the pure elements: 0 meV/atom. The calculation puts the density of states at the Fermi level at 2.3 states/eV/f.u. As for the space-group type: No. 160. Its crystal system is trigonal.


Record 5
Entry from Alexandria: a relaxed Li2FeRu crystal (PBE-GGA).

```
Li2FeRu
1.0
5.2424 -0.0393 0.1026
2.7923 4.4371 -0.1026
-3.4691 -3.2007 2.2840
Fe Li Ru
1 2 1
Cartesian
1.6703 1.7177 1.0907
0.0341 0.0186 0.0000
3.9833 2.1803 0.0000
2.8954 -0.5205 1.1933
```

As for the energy of formation from the pure elements: 181 meV/atom. The calculation puts the density of states at the Fermi level at 3.0 states/eV/f.u. As for the space-group type: No. 71. Its crystal system is orthorhombic. The value obtained for the relative energy among the computed polymorphs is 28.9 meV per atom.


Record 6
Entry from Alexandria: a relaxed Cr2TcC crystal (PBE-GGA).

```
Cr2TcC
1.0
-0.1711 -1.6177 -2.3024
4.1271 -0.6042 1.8464
-2.4621 -5.1662 3.8128
Cr Tc C
4 2 2
Cartesian
1.4906 -3.9380 2.6572
0.0033 -3.4500 0.6996
0.5888 -5.8303 4.0538
0.9051 -1.5578 -0.6970
2.7337 -3.3006 0.3937
-1.2398 -4.0874 2.9630
0.2142 -5.4341 2.0773
1.2798 -1.9540 1.2795
```

As for the energy of formation from the pure elements: -26 meV/atom. The calculation puts the density of states at the Fermi level at 2.9 states/eV/f.u. As for the space-group type: No. 63. Its crystal system is orthorhombic.


Record 7
Entry from Alexandria: a relaxed Ac2Te2I crystal (PBE-GGA).

```
Ac2Te2I
1.0
-2.1917 -3.5023 2.2775
-2.5688 -0.8985 -3.8537
9.3077 -4.1715 -2.3441
Ac Te I
2 2 1
Cartesian
2.2721 -6.4796 -2.8915
2.2752 -2.0927 -1.0287
-0.1019 -4.2960 -1.8182
4.6492 -4.2763 -2.1020
0.0000 0.0000 0.0000
```

The value obtained for the uncorrected formation energy is -1.50 eV/atom. The calculation puts the density of states at the Fermi level at 2.3 states/eV/f.u. As for the space-group type: No. 139. Its crystal system is tetragonal. The value obtained for the relative energy among the computed polymorphs is 0.0 meV per atom.


Record 8
Entry from Alexandria: a relaxed KTa2Ir crystal (PBE-GGA).

```
KTa2Ir
1.0
-10.0676 -3.0975 -2.5153
-8.7337 -5.7405 -2.8365
-9.6744 -4.8641 -0.1505
Ir K Ta
1 1 2
Cartesian
-14.6153 -7.0327 -2.8241
-21.5411 -10.3653 -4.1624
-28.1070 -13.5247 -5.4311
-6.9259 -3.3327 -1.3383
```

As for the energy of formation from the pure elements: 476 meV/atom. The calculation puts the density of states at the Fermi level at 3.6 states/eV/f.u. As for the space-group type: No. 160. Its crystal system is trigonal. The value obtained for the relative energy among the computed polymorphs is 147.2 meV per atom.